[1]
Density functional theory data (PBE) for a geometry-optimized TaMnRe2 structure.

Cell and atoms, written as POSCAR:
```
TaMnRe2
1.0
1.408 0.813 9.033
-1.408 0.813 9.033
0.000 -1.626 9.033
Ta Mn Re
1 1 2
Direct
0.000 0.000 0.000
0.250 0.250 0.250
0.502 0.502 0.502
0.757 0.757 0.757
```

Results
The calculation puts the total energy at -45.232 eV per cell.

=====

[2]
Density functional theory data (PBE) for a geometry-optimized SrCdNi2 structure.

Cell and atoms, written as POSCAR:
```
SrCdNi2
1.0
3.430 0.000 0.000
0.000 3.430 0.000
0.000 0.000 6.660
Sr Cd Ni
1 1 2
Direct
0.000 0.000 0.000
0.000 0.000 0.500
0.500 0.500 0.313
0.500 0.500 0.687
```

Results
The calculation puts the total energy at -13.488 eV per cell.

=====

[3]
Density functional theory data (PBE) for a geometry-optimized DySc2Hg structure.

Cell and atoms, written as POSCAR:
```
DySc2Hg
1.0
8.882 0.000 0.000
0.000 7.568 0.000
0.000 0.000 6.141
Dy Sc Hg
4 8 4
Direct
0.028 0.250 0.104
0.472 0.750 0.604
0.528 0.250 0.396
0.972 0.750 0.896
0.182 0.043 0.602
0.182 0.457 0.602
0.318 0.543 0.102
0.318 0.957 0.102
0.682 0.043 0.898
0.682 0.457 0.898
0.818 0.543 0.398
0.818 0.957 0.398
0.099 0.750 0.356
0.401 0.250 0.856
0.599 0.750 0.144
0.901 0.250 0.644
```

Results
As for the polymorph energy (0 for the lowest one): 7.4 meV per atom.

=====

[4]
Density functional theory data (PBE) for a geometry-optimized KCr2Si structure.

Cell and atoms, written as POSCAR:
```
KCr2Si
1.0
4.018 -1.536 0.000
4.018 1.536 0.000
-1.073 0.000 7.161
K Cr Si
1 2 1
Direct
0.000 0.000 0.000
0.505 0.505 0.525
0.784 0.784 0.386
0.239 0.239 0.650
```

Results
As for the formation energy (no corrections): 488 meV per atom.

=====

[5]
Density functional theory data (PBE) for a geometry-optimized ScOsIO2 structure.

Cell and atoms, written as POSCAR:
```
ScOsIO2
1.0
3.831 0.000 0.000
0.000 3.831 0.000
0.000 0.000 7.382
Sc Os I O
1 1 1 2
Direct
0.000 0.000 0.000
0.500 0.500 0.500
0.500 0.500 0.000
0.000 0.500 0.500
0.500 0.000 0.500
```

Results
As for the polymorph energy (0 for the lowest one): 0.0 meV per atom. As for the formation energy (no corrections): -366 meV per atom.

=====

[6]
Density functional theory data (PBE) for a geometry-optimized VCSeBr2 structure.

Cell and atoms, written as POSCAR:
```
VCSeBr2
1.0
5.075 0.000 0.000
0.000 5.075 0.000
0.000 0.000 4.802
V C Se Br
1 1 1 2
Direct
0.000 0.000 0.000
0.500 0.500 0.500
0.000 0.000 0.500
0.000 0.500 0.000
0.500 0.000 0.000
```

Results
As for the polymorph energy (0 for the lowest one): 0.0 meV per atom. As for the formation energy (no corrections): 1136 meV per atom.

=====

[7]
Density functional theory data (PBE) for a geometry-optimized AlFe2Ir structure.

Cell and atoms, written as POSCAR:
```
AlFe2Ir
1.0
2.967 0.000 0.000
0.000 2.967 0.000
0.000 0.000 5.826
Al Fe Ir
1 2 1
Direct
0.000 0.000 0.000
0.000 0.000 0.467
0.500 0.500 0.248
0.500 0.500 0.741
```

Results
The calculation puts the total energy at -30.900 eV per cell.

=====

[8]
Density functional theory data (PBE) for a geometry-optimized LiMnWBr2 structure.

Cell and atoms, written as POSCAR:
```
LiMnWBr2
1.0
4.409 0.000 0.000
0.000 4.409 0.000
0.000 0.000 4.949
Li Mn W Br
1 1 1 2
Direct
0.000 0.000 0.000
0.500 0.500 0.500
0.000 0.000 0.500
0.000 0.500 0.000
0.500 0.000 0.000
```

Results
As for the formation energy (no corrections): 1631 meV per atom.

=====

[9]
Density functional theory data (PBE) for a geometry-optimized MgCdRh2 structure.

Cell and atoms, written as POSCAR:
```
MgCdRh2
1.0
3.167 0.000 0.000
0.000 4.364 0.000
0.000 0.000 4.709
Mg Cd Rh
1 1 2
Direct
0.000 0.000 0.000
0.500 0.000 0.500
0.000 0.500 0.500
0.500 0.500 0.000
```

Results
The calculation puts the total energy at -17.737 eV per cell.

=====

[10]
Density functional theory data (PBE) for a geometry-optimized SmEr2Mn structure.

Cell and atoms, written as POSCAR:
```
SmEr2Mn
1.0
3.488 0.000 0.000
0.000 3.488 0.000
0.000 0.000 8.807
Sm Er Mn
1 2 1
Direct
0.000 0.000 0.000
0.500 0.500 0.305
0.500 0.500 0.695
0.000 0.000 0.500
```

Results
As for the polymorph energy (0 for the lowest one): 0.0 meV per atom.

=====

[11]
Density functional theory data (PBE) for a geometry-optimized CoHCS structure.

Cell and atoms, written as POSCAR:
```
CoHCS
1.0
3.421 -1.464 0.000
3.421 1.464 0.000
-1.831 0.000 3.875
Co H C S
1 1 1 1
Direct
0.000 0.000 0.000
0.301 0.301 0.272
0.471 0.471 0.280
0.636 0.636 0.722
```

Results
As for the polymorph energy (0 for the lowest one): 10.1 meV per atom.

=====

[12]
Density functional theory data (PBE) for a geometry-optimized Cs2MoPbBr6 structure.

Cell and atoms, written as POSCAR:
```
Cs2MoPbBr6
1.0
-4.055 4.055 5.748
4.055 -4.055 5.748
4.055 4.055 -5.748
Cs Mo Pb Br
2 1 1 6
Direct
0.250 0.750 0.500
0.750 0.250 0.500
0.000 0.000 0.000
0.500 0.500 0.000
0.235 0.235 0.000
0.235 0.235 0.470
0.235 0.765 0.000
0.765 0.235 0.000
0.765 0.765 0.000
0.765 0.765 0.530
```

Results
As for the formation energy (no corrections): -1010 meV per atom.

=====

[13]
Density functional theory data (PBE) for a geometry-optimized Sr2GeO4F structure.

Cell and atoms, written as POSCAR:
```
Sr2GeO4F
1.0
4.541 -1.649 0.000
4.541 1.649 0.000
-3.756 0.000 8.011
Sr Ge O F
2 1 4 1
Direct
0.145 0.145 0.234
0.855 0.855 0.766
0.000 0.000 0.500
0.132 0.132 0.719
0.385 0.385 0.551
0.615 0.615 0.449
0.868 0.868 0.281
0.500 0.500 0.000
```

Results
As for the formation energy (no corrections): -2255 meV per atom.

=====

[14]
Density functional theory data (PBE) for a geometry-optimized CeCrBr6 structure.

Cell and atoms, written as POSCAR:
```
CeCrBr6
1.0
3.420 1.975 6.236
-3.420 1.975 6.236
0.000 -3.949 6.236
Ce Cr Br
1 1 6
Direct
0.000 0.000 0.000
0.500 0.500 0.500
0.114 0.421 0.730
0.270 0.886 0.579
0.421 0.730 0.114
0.579 0.270 0.886
0.730 0.114 0.421
0.886 0.579 0.270
```

Results
As for the formation energy (no corrections): -1197 meV per atom.

=====

[15]
Density functional theory data (PBE) for a geometry-optimized Ba2ScCl structure.

Cell and atoms, written as POSCAR:
```
Ba2ScCl
1.0
3.918 0.000 0.000
0.000 3.912 0.000
-1.113 0.000 10.092
Ba Sc Cl
2 1 1
Direct
0.074 0.000 0.271
0.926 0.000 0.729
0.500 0.500 0.000
0.500 0.500 0.500
```

Results
As for the polymorph energy (0 for the lowest one): 62.0 meV per atom. As for the formation energy (no corrections): -553 meV per atom.

=====

[16]
Density functional theory data (PBE) for a geometry-optimized ErGa2F8 structure.

Cell and atoms, written as POSCAR:
```
ErGa2F8
1.0
4.370 -3.587 0.000
4.370 3.587 0.000
-0.614 0.000 5.247
Er Ga F
1 2 8
Direct
0.000 0.000 0.000
0.421 0.421 0.743
0.579 0.579 0.257
0.151 0.691 0.752
0.213 0.213 0.826
0.309 0.849 0.248
0.369 0.369 0.379
0.631 0.631 0.621
0.691 0.151 0.752
0.787 0.787 0.174
0.849 0.309 0.248
```

Results
As for the polymorph energy (0 for the lowest one): 0.0 meV per atom. As for the formation energy (no corrections): -2945 meV per atom.

=====

[17]
Density functional theory data (PBE) for a geometry-optimized HfUGa structure.

Cell and atoms, written as POSCAR:
```
HfUGa
1.0
-1.501 1.501 6.713
1.501 -1.501 6.713
1.501 1.501 -6.713
Hf U Ga
1 1 1
Direct
0.000 0.000 0.000
0.680 0.680 0.000
0.347 0.347 0.000
```

Results
As for the polymorph energy (0 for the lowest one): 0.0 meV per atom.

=====

[18]
Density functional theory data (PBE) for a geometry-optimized Cs2TiCuI6 structure.

Cell and atoms, written as POSCAR:
```
Cs2TiCuI6
1.0
-4.353 4.353 5.449
4.353 -4.353 5.449
4.353 4.353 -5.449
Cs Ti Cu I
2 1 1 6
Direct
0.250 0.750 0.500
0.750 0.250 0.500
0.000 0.000 0.000
0.500 0.500 0.000
0.228 0.228 0.456
0.228 0.772 0.000
0.270 0.270 0.000
0.730 0.730 0.000
0.772 0.228 0.000
0.772 0.772 0.544
```

Results
As for the polymorph energy (0 for the lowest one): 41.7 meV per atom. As for the formation energy (no corrections): -881 meV per atom.

=====

[19]
Density functional theory data (PBE) for a geometry-optimized Tb4Pm2Sm2Dy structure.

Cell and atoms, written as POSCAR:
```
Tb4Pm2Sm2Dy
1.0
9.409 -1.812 0.000
9.409 1.812 0.000
-4.185 0.000 8.687
Tb Pm Sm Dy
4 2 2 1
Direct
0.019 0.019 0.332
0.315 0.315 0.666
0.685 0.685 0.334
0.981 0.981 0.668
0.166 0.166 0.000
0.834 0.834 0.000
0.352 0.352 0.336
0.648 0.648 0.664
0.500 0.500 0.000
```

Results
The calculation puts the total energy at -42.037 eV per cell.

=====

[20]
Density functional theory data (PBE) for a geometry-optimized LiScTc2 structure.

Cell and atoms, written as POSCAR:
```
LiScTc2
1.0
1.551 -2.296 0.000
1.551 2.296 0.000
0.000 0.000 9.412
Li Sc Tc
1 1 2
Direct
0.000 0.000 0.000
0.500 0.500 0.299
0.000 0.000 0.538
0.500 0.500 0.757
```

Results
As for the polymorph energy (0 for the lowest one): 268.6 meV per atom.